No. 1
## La2Ga3Rh4 (GGA-PBE)

Data for a relaxed La2Ga3Rh4 crystal.

Calculated values
As for the space group: Cmce (64).

a = 5.7630 Å, b = 7.3053 Å, c = 8.4191 Å
α = 90.00°, β = 110.01°, γ = 90.00°
With the nearest neighbours (Å) after each atom.
Sites, in units of the cell vectors:
La (0.1085, 0.5804, 0.2169)  5 Rh 2.88-3.12, 2 Ga 3.20
La (0.8915, 0.4196, 0.7831)  5 Rh 2.88-3.12, 2 Ga 3.20
La (0.3915, 0.0804, 0.7831)  5 Rh 2.88-3.12, 2 Ga 3.20
La (0.6085, 0.9196, 0.2169)  5 Rh 2.88-3.12, 2 Ga 3.20
Ga (0.0000, 0.0000, 0.0000)  6 Rh 2.56-2.83
Ga (0.5000, 0.5000, 0.0000)  6 Rh 2.56-2.83
Ga (0.5216, 0.7500, 0.5431)  5 Rh 2.55-2.64
Ga (0.9784, 0.2500, 0.4569)  5 Rh 2.55-2.64
Ga (0.4784, 0.2500, 0.4569)  5 Rh 2.55-2.64
Ga (0.0216, 0.7500, 0.5431)  5 Rh 2.55-2.64
Rh (0.6825, 0.7500, 0.8650)  3 Ga 2.55-2.56
Rh (0.8175, 0.2500, 0.1350)  3 Ga 2.55-2.56
Rh (0.3175, 0.2500, 0.1350)  3 Ga 2.55-2.56
Rh (0.1825, 0.7500, 0.8650)  3 Ga 2.55-2.56
Rh (0.1785, 0.9768, 0.3569)  5 Ga 2.59-2.83
Rh (0.8215, 0.0232, 0.6431)  5 Ga 2.59-2.83
Rh (0.3215, 0.4768, 0.6431)  5 Ga 2.59-2.83
Rh (0.6785, 0.5232, 0.3569)  5 Ga 2.59-2.83


No. 2
## La4Ga3Rh (GGA-PBE)

Data for a relaxed La4Ga3Rh crystal.

Calculated values
As for the space group: Pmm2 (25).

a = 4.5027 Å, b = 4.2806 Å, c = 11.0841 Å
α = 90.00°, β = 90.00°, γ = 90.00°
With the nearest neighbours (Å) after each atom.
Sites, in units of the cell vectors:
Rh (0.5000, 0.5000, 0.0838)  2 Ga 2.69, 1 La 2.88
Ga (0.0000, 0.5000, 0.5682)  2 Ga 2.66
Ga (0.0000, 0.0000, 0.4264)  2 Ga 2.66
Ga (0.5000, 0.0000, 0.9365)  2 Rh 2.69
La (0.5000, 0.5000, 0.3436)  1 Rh 2.88
La (0.0000, 0.5000, 0.8628)  5 Ga 3.21-3.26, 2 Rh 3.33
La (0.0000, 0.0000, 0.1369)  4 Rh 3.16, 3 Ga 3.16-3.21
La (0.5000, 0.0000, 0.6418)  7 Ga 3.21-3.28


No. 3
## La3Ga2Rh6 (GGA-PBE)

Data for a relaxed La3Ga2Rh6 crystal.

Calculated values
As for the space group: Im-3m (229).

a = 8.2542 Å, b = 8.2542 Å, c = 8.2542 Å
α = 109.47°, β = 109.47°, γ = 109.47°
With the nearest neighbours (Å) after each atom.
Sites, in units of the cell vectors:
La (0.7073, 0.0000, 0.7073)  4 Rh 2.87
La (0.2927, 0.0000, 0.2927)  4 Rh 2.87
La (0.0000, 0.2927, 0.2927)  4 Rh 2.87
La (0.0000, 0.7073, 0.7073)  4 Rh 2.87
La (0.2927, 0.2927, 0.0000)  4 Rh 2.87
La (0.7073, 0.7073, 0.0000)  4 Rh 2.87
Ga (0.0000, 0.5000, 0.0000)  6 Rh 2.71
Ga (0.5000, 0.0000, 0.0000)  6 Rh 2.71
Ga (0.0000, 0.0000, 0.5000)  6 Rh 2.71
Ga (0.5000, 0.5000, 0.5000)  6 Rh 2.71
Rh (0.6549, 0.3098, 0.6549)  2 Ga 2.71, 6 Rh 2.77-2.95, 2 La 2.87
Rh (0.6549, 0.0000, 0.3451)  2 Ga 2.71, 6 Rh 2.77-2.95, 2 La 2.87
Rh (0.3451, 0.0000, 0.6549)  2 Ga 2.71, 6 Rh 2.77-2.95, 2 La 2.87
Rh (0.3451, 0.6902, 0.3451)  2 Ga 2.71, 6 Rh 2.77-2.95, 2 La 2.87
Rh (0.0000, 0.6549, 0.3451)  2 Ga 2.71, 6 Rh 2.77-2.95, 2 La 2.87
Rh (0.6902, 0.3451, 0.3451)  2 Ga 2.71, 6 Rh 2.77-2.95, 2 La 2.87
Rh (0.3098, 0.6549, 0.6549)  2 Ga 2.71, 6 Rh 2.77-2.95, 2 La 2.87
Rh (0.0000, 0.3451, 0.6549)  2 Ga 2.71, 6 Rh 2.77-2.95, 2 La 2.87
Rh (0.3451, 0.6549, 0.0000)  2 Ga 2.71, 6 Rh 2.77-2.95, 2 La 2.87
Rh (0.6549, 0.6549, 0.3098)  2 Ga 2.71, 6 Rh 2.77-2.95, 2 La 2.87
Rh (0.3451, 0.3451, 0.6902)  2 Ga 2.71, 6 Rh 2.77-2.95, 2 La 2.87
Rh (0.6549, 0.3451, 0.0000)  2 Ga 2.71, 6 Rh 2.77-2.95, 2 La 2.87


No. 4
## LaGaRh (GGA-PBE)

Data for a relaxed LaGaRh crystal.

Calculated values
As for the space group: Imm2 (44).

a = 4.0244 Å, b = 8.0979 Å, c = 8.2359 Å
α = 90.00°, β = 90.00°, γ = 90.00°
With the nearest neighbours (Å) after each atom.
Sites, in units of the cell vectors:
La (0.0000, 0.5000, 0.1494)  4 Rh 3.00, 2 Ga 3.26
La (0.5000, 0.0000, 0.6494)  4 Rh 3.00, 2 Ga 3.26
La (0.0000, 0.0000, 0.0977)  4 Rh 3.07, 6 Ga 3.18-3.32
La (0.5000, 0.5000, 0.5977)  4 Rh 3.07, 6 Ga 3.18-3.32
Ga (0.0000, 0.2885, 0.8121)  3 Rh 2.56-2.59
Ga (0.0000, 0.7115, 0.8121)  3 Rh 2.56-2.59
Ga (0.5000, 0.7885, 0.3121)  3 Rh 2.56-2.59
Ga (0.5000, 0.2115, 0.3121)  3 Rh 2.56-2.59
Rh (0.0000, 0.7702, 0.5026)  3 Ga 2.56-2.59
Rh (0.0000, 0.2298, 0.5026)  3 Ga 2.56-2.59
Rh (0.5000, 0.2702, 0.0026)  3 Ga 2.56-2.59
Rh (0.5000, 0.7298, 0.0026)  3 Ga 2.56-2.59


No. 5
## LaGa6Rh2 (GGA-PBE)

Data for a relaxed LaGa6Rh2 crystal.

Calculated values
As for the space group: Fd-3m (227).

a = 8.4026 Å, b = 8.4026 Å, c = 8.4026 Å
α = 60.00°, β = 60.00°, γ = 60.00°
With the nearest neighbours (Å) after each atom.
Sites, in units of the cell vectors:
La (0.5000, 0.5000, 0.5000)  6 Ga 3.19
La (0.7500, 0.7500, 0.7500)  6 Ga 3.19
Ga (0.2314, 0.2314, 0.7686)  2 Rh 2.45
Ga (0.7686, 0.7686, 0.2314)  2 Rh 2.45
Ga (0.2314, 0.7686, 0.2314)  2 Rh 2.45
Ga (0.2314, 0.7686, 0.7686)  2 Rh 2.45
Ga (0.4814, 0.4814, 0.0186)  2 Rh 2.45
Ga (0.4814, 0.0186, 0.0186)  2 Rh 2.45
Ga (0.7686, 0.2314, 0.7686)  2 Rh 2.45
Ga (0.0186, 0.0186, 0.4814)  2 Rh 2.45
Ga (0.4814, 0.0186, 0.4814)  2 Rh 2.45
Ga (0.0186, 0.4814, 0.4814)  2 Rh 2.45
Ga (0.7686, 0.2314, 0.2314)  2 Rh 2.45
Ga (0.0186, 0.4814, 0.0186)  2 Rh 2.45
Rh (0.1250, 0.1250, 0.1250)  6 Ga 2.45
Rh (0.1250, 0.6250, 0.1250)  6 Ga 2.45
Rh (0.1250, 0.1250, 0.6250)  6 Ga 2.45
Rh (0.6250, 0.1250, 0.1250)  6 Ga 2.45


No. 6
## LaGa12Rh4 (GGA-PBE)

Data for a relaxed LaGa12Rh4 crystal.

Calculated values
As for the space group: Im-3 (204).

a = 7.6227 Å, b = 7.6227 Å, c = 7.6227 Å
α = 109.47°, β = 109.47°, γ = 109.47°
With the nearest neighbours (Å) after each atom.
Sites, in units of the cell vectors:
La (0.0000, 0.0000, 0.0000)  12 Ga 3.32
Ga (0.8397, 0.3416, 0.1813)  2 Rh 2.47
Ga (0.3416, 0.5020, 0.1603)  2 Rh 2.47
Ga (0.8187, 0.1603, 0.6584)  2 Rh 2.47
Ga (0.3416, 0.1813, 0.8397)  2 Rh 2.47
Ga (0.1813, 0.8397, 0.3416)  2 Rh 2.47
Ga (0.6584, 0.4980, 0.8397)  2 Rh 2.47
Ga (0.5020, 0.1603, 0.3416)  2 Rh 2.47
Ga (0.4980, 0.8397, 0.6584)  2 Rh 2.47
Ga (0.6584, 0.8187, 0.1603)  2 Rh 2.47
Ga (0.8397, 0.6584, 0.4980)  2 Rh 2.47
Ga (0.1603, 0.3416, 0.5020)  2 Rh 2.47
Ga (0.1603, 0.6584, 0.8187)  2 Rh 2.47
Rh (0.0000, 0.5000, 0.0000)  6 Ga 2.47
Rh (0.5000, 0.0000, 0.0000)  6 Ga 2.47
Rh (0.5000, 0.5000, 0.5000)  6 Ga 2.47
Rh (0.0000, 0.0000, 0.5000)  6 Ga 2.47


Which E_tot belongs to each record? In order, -6.204 -5.147 -6.584 -5.877 -4.285 -4.423 eV/atom.
Which calculated formation energy belongs to each record? In order, -833.0 -629.7 -679.6 -774.6 -85.8 -266.7 meV per atom.
Which magnetic moment belongs to each record? In order, 0.00 0.00 0.40 0.00 0.00 0.00 μB per formula unit.